DFT (GGA+U) results for CaFeNO2 after structural relaxation.

## Properties
E_tot ... -4.790 eV/atom

a b c (Å): 4.3284 4.3284 4.4657
angles (deg): 90.00 90.00 90.00
Last column: nearest neighbours and their distance in Å.
Space group P4/mmm (No. 123)
Unique sites:
Ca (0.0000, 0.0000, 0.0000) x1  4 O 2.16, 2 N 2.23
Fe (0.5000, 0.5000, 0.5000) x1  4 N 3.06, 8 O 3.11
N (0.0000, 0.0000, 0.5000) x1  2 Ca 2.23
O (0.0000, 0.5000, 0.0000) x2  2 Ca 2.16